Entry 1:
# MgSnTe2I

An optimized crystal structure of MgSnTe2I (PBE, Alexandria).

Summary:
E_tot = -2.7358 eV per atom
ΔE_f (raw) = -0.05 eV/atom
Theoretical density = 5.13 g/cm³
Offset from the most stable computed form = 0.0 meV/atom

abc: 5.5259 5.5259 5.5639
angles: 90.00 90.00 90.00
Last column: nearest neighbours and their distance in Å.
Space group P4/mmm (No. 123)
Asymmetric unit:
Mg1 0.0000 0.0000 0.0000  4 Te 2.76, 2 I 2.78
Sn1 0.5000 0.5000 0.5000  4 I 3.91, 8 Te 3.92
Te1 0.0000 0.5000 0.0000  2 Mg 2.76
I1 0.0000 0.0000 0.5000  2 Mg 2.78


Entry 2:
# CrSn

An optimized crystal structure of CrSn (PBE, Alexandria).

Summary:
E_tot = -6.1674 eV per atom
E_form = 0.646 eV/atom
Theoretical density = 5.71 g/cm³

abc: 11.1982 11.1982 3.1655
angles: 90.00 90.00 90.00
Last column: nearest neighbours and their distance in Å.
Space group I4/m (No. 87)
Asymmetric unit:
Cr1 0.1896 0.7255 0.0000  2 Cr 2.15
Sn1 0.0398 0.2242 0.0000  4 Cr 2.63-2.79


Entry 3:
# TbTm2Hg

An optimized crystal structure of TbTm2Hg (PBE, Alexandria).

Summary:
E_tot = -3.7010 eV per atom
E_form = -0.232 eV/atom
Theoretical density = 10.30 g/cm³
Offset from the most stable computed form = 0.0 meV/atom

abc: 3.5607 3.5607 8.8673
angles: 90.00 90.00 90.00
Last column: nearest neighbours and their distance in Å.
Space group P4/mmm (No. 123)
Asymmetric unit:
Tb1 0.0000 0.0000 0.0000  8 Tm 3.53, 4 Tb 3.56
Tm1 0.5000 0.5000 0.2784  4 Hg 3.19, 4 Tb 3.53, 4 Tm 3.56
Hg1 0.0000 0.0000 0.5000  8 Tm 3.19, 4 Hg 3.56


Entry 4:
# Ni2AsBr

An optimized crystal structure of Ni2AsBr (PBE, Alexandria).

Summary:
E_tot = -4.1089 eV per atom
ΔE_f (raw) = 0.36 eV/atom
Theoretical density = 6.46 g/cm³
Offset from the most stable computed form = 464.5 meV/atom

abc: 6.7471 6.9610 2.9777
angles: 90.00 90.46 90.00
Last column: nearest neighbours and their distance in Å.
Space group C2/m (No. 12)
Asymmetric unit:
Ni1 0.2500 0.2500 0.0000  2 As 2.42, 2 Br 2.42
As1 0.0000 0.0000 0.0000  4 Ni 2.42
Br1 0.0000 0.5000 0.0000  4 Ni 2.42


Entry 5:
# Ba2GeBPd6

An optimized crystal structure of Ba2GeBPd6 (PBE, Alexandria).

Summary:
E_tot = -5.1590 eV per atom
E_form = -0.529 eV/atom
Theoretical density = 8.27 g/cm³

abc: 10.5527 6.0890 7.1584
angles: 90.00 119.58 90.00
Last column: nearest neighbours and their distance in Å.
Space group C2/m (No. 12)
Asymmetric unit:
Ba1 0.2194 0.0000 0.1588  12 Pd 3.22-3.60
Ge1 0.0000 0.5000 0.0000  6 Pd 2.61-2.62
B1 0.0000 0.0000 0.5000  6 Pd 2.16
Pd1 0.0306 0.2656 0.3267  1 B 2.16
Pd2 0.2353 0.0000 0.6723  1 B 2.16


Entry 6:
# Pt3Au

An optimized crystal structure of Pt3Au (PBE, Alexandria).

Summary:
E_tot = -5.3199 eV per atom
E_form = 0.030 eV/atom
Theoretical density = 19.99 g/cm³

abc: 2.8155 2.8155 8.1968
angles: 90.00 90.00 90.00
Last column: nearest neighbours and their distance in Å.
Space group P4/mmm (No. 123)
Asymmetric unit:
Pt1 0.0000 0.0000 0.0000  12 Pt 2.80-2.82
Pt2 0.5000 0.5000 0.2410  8 Pt 2.80-2.82, 4 Au 2.91
Au1 0.0000 0.0000 0.5000  4 Au 2.82, 8 Pt 2.91


Entry 7:
# AlRu4Pt

An optimized crystal structure of AlRu4Pt (PBE, Alexandria).

Summary:
E_tot = -7.4438 eV per atom
E_form = 0.371 eV/atom
Theoretical density = 11.31 g/cm³

abc: 7.1651 7.1651 7.1651
angles: 90.00 90.00 90.00
Last column: nearest neighbours and their distance in Å.
Space group F-43m (No. 216)
Asymmetric unit:
Al1 0.0000 0.0000 0.0000  12 Ru 2.97, 4 Pt 3.10
Ru1 0.1245 0.1245 0.3755  6 Ru 2.52-2.54
Pt1 0.2500 0.2500 0.7500  12 Ru 2.97, 4 Al 3.10


Entry 8:
# Pa3SiN

An optimized crystal structure of Pa3SiN (PBE, Alexandria).

Summary:
E_tot = -9.1533 eV per atom
ΔE_f (raw) = -0.71 eV/atom
Theoretical density = 12.09 g/cm³

abc: 4.6567 4.6567 4.6567
angles: 90.00 90.00 90.00
Last column: nearest neighbours and their distance in Å.
Space group Pm-3m (No. 221)
Asymmetric unit:
Pa1 0.0000 0.0000 0.5000  2 N 2.33
Si1 0.5000 0.5000 0.5000  12 Pa 3.29
N1 0.0000 0.0000 0.0000  6 Pa 2.33


Entry 9:
# BaHgPb2

An optimized crystal structure of BaHgPb2 (PBE, Alexandria).

Summary:
E_tot = -2.6914 eV per atom
E_form = -0.281 eV/atom
Theoretical density = 9.14 g/cm³
Offset from the most stable computed form = 99.5 meV/atom

abc: 4.8390 4.8785 11.5802
angles: 90.00 90.00 90.00
Last column: nearest neighbours and their distance in Å.
Space group Immm (No. 71)
Asymmetric unit:
Ba1 0.0000 0.0000 0.0000  4 Hg 3.44, 8 Pb 3.77-3.79
Hg1 0.0000 0.0000 0.5000  4 Ba 3.44, 8 Pb 3.75-3.80
Pb1 0.0000 0.5000 0.2479  4 Pb 3.44, 4 Hg 3.75-3.80, 4 Ba 3.77-3.79


Entry 10:
# TaPRh2

An optimized crystal structure of TaPRh2 (PBE, Alexandria).

Summary:
E_tot = -8.1986 eV per atom
E_form = -0.207 eV/atom
Theoretical density = 11.69 g/cm³

abc: 5.3303 9.0030 2.8386
angles: 90.00 119.38 90.00
Last column: nearest neighbours and their distance in Å.
Space group C2/m (No. 12)
Asymmetric unit:
Ta1 0.0000 0.0000 0.0000  4 Rh 2.65, 4 P 2.67-2.78, 2 Ta 2.84
P1 0.0000 0.5000 0.0000  4 Rh 2.65, 4 Ta 2.67-2.78, 2 P 2.84
Rh1 0.2500 0.2500 0.5000  2 Ta 2.65, 2 P 2.65, 6 Rh 2.67-2.84


Entry 11:
# NpHPt

An optimized crystal structure of NpHPt (PBE, Alexandria).

Summary:
E_tot = -7.5510 eV per atom
Theoretical density = 16.99 g/cm³
Offset from the most stable computed form = 116.5 meV/atom

abc: 3.7327 12.8000 3.5437
angles: 90.00 90.00 90.00
Last column: nearest neighbours and their distance in Å.
Space group Cmcm (No. 63)
Asymmetric unit:
Np1 0.0000 0.0647 0.2500  2 H 2.37, 2 Np 2.43
H1 0.0000 0.1877 0.7500  2 Pt 1.87
Pt1 0.0000 0.3160 0.2500  2 H 1.87


Entry 12:
# NaRuSeBr2

An optimized crystal structure of NaRuSeBr2 (PBE, Alexandria).

Summary:
E_tot = -3.8393 eV per atom
ΔE_f (raw) = -0.35 eV/atom
Theoretical density = 4.46 g/cm³
Offset from the most stable computed form = 0.0 meV/atom

abc: 5.4078 5.4078 4.6196
angles: 90.00 90.00 90.00
Last column: nearest neighbours and their distance in Å.
Space group P4/mmm (No. 123)
Asymmetric unit:
Na1 0.0000 0.0000 0.0000  8 Br 3.56, 4 Se 3.82
Ru1 0.5000 0.5000 0.5000  2 Se 2.31
Se1 0.5000 0.5000 0.0000  2 Ru 2.31
Br1 0.0000 0.5000 0.5000  2 Ru 2.70


What is the theoretical density in the seventh record? 11.31 g/cm³